1.
NpNO3: relaxed, PBE.

a b c (Å): 5.863 5.877 7.620
angles (deg): 73.52 70.28 59.76
Site moments in Bohr magnetons follow the coordinates.
Fractional positions:
Np 0.044 0.932 0.741  1.22
Np 0.382 0.264 0.739  1.22
N 0.862 0.755 0.285  1.94
N 0.564 0.442 0.193  1.94
O 0.365 0.001 0.595  -0.06
O 0.266 0.596 0.884  -0.06
O 0.656 0.953 0.881  -0.05
O 0.062 0.195 0.884  -0.06
O 0.160 0.601 0.595  -0.06
O 0.770 0.244 0.598  -0.05

=====

2.
Np2NO: relaxed, PBE.

## Properties
Offset from the most stable computed form (eV/atom): 0.6226

a b c (Å): 3.022 3.022 6.065
angles (deg): 90.00 90.00 90.00
Site moments in Bohr magnetons follow the coordinates.
Fractional positions:
Np 0.000 0.000 0.740  4.20
Np 0.000 0.000 0.260  4.20
O 0.500 0.500 0.000  -0.05
N 0.500 0.500 0.500  -0.15

=====

3.
Np2NO: relaxed, PBE.

## Properties
Offset from the most stable computed form (eV/atom): 0.0000

a b c (Å): 3.439 3.439 5.934
angles (deg): 73.16 73.16 60.00
Site moments in Bohr magnetons follow the coordinates.
Fractional positions:
Np 0.751 0.751 0.748  3.17
Np 0.249 0.249 0.252  3.17
O 0.000 0.000 0.000  -0.10
N 0.500 0.500 0.500  -0.14

=====

4.
Np2NO2: relaxed, PBE.

a b c (Å): 3.670 3.670 6.066
angles (deg): 90.00 90.00 120.00
Site moments in Bohr magnetons follow the coordinates.
Fractional positions:
Np 0.667 0.333 0.236  3.51
Np 0.333 0.667 0.764  3.51
N 0.000 0.000 0.000  -0.21
O 0.333 0.667 0.363  -0.09
O 0.667 0.333 0.637  -0.09

=====

5.
Np4N3O: relaxed, PBE.

a b c (Å): 4.865 4.865 5.964
angles (deg): 114.07 114.07 90.00
Site moments in Bohr magnetons follow the coordinates.
Fractional positions:
Np 0.000 0.500 0.000  3.24
Np 0.500 0.000 0.000  3.24
Np 0.251 0.251 0.503  3.12
Np 0.749 0.749 0.497  3.12
O 0.000 0.000 0.000  -0.09
N 0.500 0.500 0.000  -0.16
N 0.750 0.250 0.500  -0.16
N 0.250 0.750 0.500  -0.16

=====

6.
NpNO: relaxed, PBE.

## Properties
Offset from the most stable computed form (eV/atom): 0.2601

a b c (Å): 5.135 3.496 3.496
angles (deg): 120.00 90.00 90.00
Site moments in Bohr magnetons follow the coordinates.
Fractional positions:
Np 0.340 0.667 0.333  2.27
O 0.156 0.000 0.000  -0.10
N 0.504 0.333 0.667  -0.17

=====

The following energy relative to the elements, uncorrected values (in eV per atom) correspond, in order, to the records above: -1.01 -1.07 -1.69 -2.26 -1.40 -1.76.